# Y2FeRu | the Alexandria database | PBE-GGA | optimized geometry
data_Y2FeRu
_cell_length_a 4.1003
_cell_length_b 4.1003
_cell_length_c 19.7721
_cell_angle_alpha 90.00
_cell_angle_beta 90.00
_cell_angle_gamma 120.00
_space_group_name_H-M_alt 'R 3 m'
_space_group_IT_number 160
_space_group_name_Hall 'R 3 -2"'
loop_
_atom_site_label
_atom_site_type_symbol
_atom_site_fract_x
_atom_site_fract_y
_atom_site_fract_z
Y1 Y 0.0000 0.0000 0.0000
Y2 Y 0.0000 0.0000 0.1840
Fe1 Fe 0.0000 0.0000 0.7652
Ru1 Ru 0.0000 0.0000 0.4196
# Total moment ... 6.0 Bohr magnetons per cell
# Volume ... 287.89 Å³ per cell
# Formation energy from the elements ... -0.106 eV/atom
# N(E_F) ... 11.1 states/eV/cell

***

# Al2AgMo | the Alexandria database | PBE-GGA | optimized geometry
data_Al2AgMo
_cell_length_a 2.758
_cell_length_b 2.758
_cell_length_c 8.509
_cell_angle_alpha 90.00
_cell_angle_beta 90.00
_cell_angle_gamma 90.00
_space_group_name_H-M_alt 'P 4 m m'
_space_group_IT_number 99
loop_
_space_group_symop_operation_xyz
'x,y,z'
'-y,x,z'
'-x,-y,z'
'y,-x,z'
'-x,y,z'
'y,x,z'
'x,-y,z'
'-y,-x,z'
loop_
_atom_site_label
_atom_site_type_symbol
_atom_site_fract_x
_atom_site_fract_y
_atom_site_fract_z
Al1 Al 0.000 0.000 0.000
Al2 Al 0.500 0.500 0.247
Ag1 Ag 0.500 0.500 0.748
Mo1 Mo 0.000 0.000 0.481
# Total moment ... 0.0 Bohr magnetons per cell
# Volume ... 64.74 Å³ per cell
# Offset from the most stable computed form ... 201 meV per atom
# Formation energy from the elements ... 0.095 eV/atom
# N(E_F) ... 1.1 states/eV/cell

***

# Y8Tm3Zr | the Alexandria database | PBE-GGA | optimized geometry
data_Y8Tm3Zr
_cell_length_a 7.036
_cell_length_b 7.046
_cell_length_c 7.848
_cell_angle_alpha 76.87
_cell_angle_beta 76.94
_cell_angle_gamma 89.79
_space_group_name_H-M_alt 'P -1'
_space_group_IT_number 2
loop_
_space_group_symop_operation_xyz
'x,y,z'
'-x,-y,-z'
loop_
_atom_site_label
_atom_site_type_symbol
_atom_site_fract_x
_atom_site_fract_y
_atom_site_fract_z
Y1 Y 0.164 0.174 0.324
Y2 Y 0.165 0.665 0.322
Y3 Y 0.326 0.335 0.676
Y4 Y 0.327 0.827 0.675
Tm1 Tm 0.000 0.000 0.000
Tm2 Tm 0.500 0.000 0.000
Tm3 Tm 0.500 0.500 0.000
Zr1 Zr 0.000 0.500 0.000
# Total moment ... 0.0 Bohr magnetons per cell
# Volume ... 368.64 Å³ per cell
# Formation energy from the elements ... 0.046 eV/atom
# N(E_F) ... 16.5 states/eV/cell

***

# CsLi3Re | the Alexandria database | PBE-GGA | optimized geometry
data_CsLi3Re
_cell_length_a 5.003
_cell_length_b 5.003
_cell_length_c 5.003
_cell_angle_alpha 90.00
_cell_angle_beta 90.00
_cell_angle_gamma 90.00
_space_group_name_H-M_alt 'P m -3 m'
_space_group_IT_number 221
_space_group_name_Hall '-P 4 2 3'
loop_
_atom_site_label
_atom_site_type_symbol
_atom_site_fract_x
_atom_site_fract_y
_atom_site_fract_z
Cs1 Cs 0.000 0.000 0.000
Li1 Li 0.000 0.000 0.500
Re1 Re 0.500 0.500 0.500
# Total moment ... 3.4 Bohr magnetons per cell
# Volume ... 125.26 Å³ per cell
# Formation energy from the elements ... 1.880 eV/atom
# N(E_F) ... 7.8 states/eV/cell

***

# Rb2CuClF | the Alexandria database | PBE-GGA | optimized geometry
data_Rb2CuClF
_cell_length_a 5.822
_cell_length_b 5.822
_cell_length_c 4.237
_cell_angle_alpha 90.00
_cell_angle_beta 90.00
_cell_angle_gamma 90.00
_space_group_name_H-M_alt 'P 4/m m m'
_space_group_IT_number 123
_space_group_name_Hall '-P 4 2'
loop_
_atom_site_label
_atom_site_type_symbol
_atom_site_fract_x
_atom_site_fract_y
_atom_site_fract_z
Rb1 Rb 0.000 0.500 0.000
Cu1 Cu 0.000 0.000 0.500
Cl1 Cl 0.500 0.500 0.500
F1 F 0.000 0.000 0.000
# Total moment ... 0.0 Bohr magnetons per cell
# Volume ... 143.63 Å³ per cell
# N(E_F) ... 0.7 states/eV/cell
# Energy relative to the elements, uncorrected ... -1.262 eV per atom

***

# Rb3Tb2CeTe6 | the Alexandria database | PBE-GGA | optimized geometry
data_Rb3Tb2CeTe6
_cell_length_a 7.959
_cell_length_b 13.788
_cell_length_c 8.955
_cell_angle_alpha 90.00
_cell_angle_beta 107.24
_cell_angle_gamma 90.00
_space_group_name_H-M_alt 'C 1 2/m 1'
_space_group_IT_number 12
loop_
_space_group_symop_operation_xyz
'x,y,z'
'-x,-y,-z'
'-x,y,-z'
'x,-y,z'
'x+1/2,y+1/2,z'
'-x+1/2,-y+1/2,-z'
'-x+1/2,y+1/2,-z'
'x+1/2,-y+1/2,z'
loop_
_atom_site_label
_atom_site_type_symbol
_atom_site_fract_x
_atom_site_fract_y
_atom_site_fract_z
Rb1 Rb 0.000 0.000 0.000
Rb2 Rb 0.000 0.335 0.000
Tb1 Tb 0.000 0.167 0.500
Ce1 Ce 0.000 0.500 0.500
Te1 Te 0.226 0.000 0.701
Te2 Te 0.238 0.330 0.701
# Total moment ... 2.0 Bohr magnetons per cell
# Volume ... 938.60 Å³ per cell
# N(E_F) ... 16.6 states/eV/cell
# Energy relative to the elements, uncorrected ... -1.369 eV per atom

***

# TiInIN2 | the Alexandria database | PBE-GGA | optimized geometry
data_TiInIN2
_cell_length_a 4.187
_cell_length_b 4.187
_cell_length_c 5.825
_cell_angle_alpha 90.00
_cell_angle_beta 90.00
_cell_angle_gamma 90.00
_space_group_name_H-M_alt 'P 4/m m m'
_space_group_IT_number 123
_space_group_name_Hall '-P 4 2'
loop_
_atom_site_label
_atom_site_type_symbol
_atom_site_fract_x
_atom_site_fract_y
_atom_site_fract_z
Ti1 Ti 0.000 0.000 0.000
In1 In 0.500 0.500 0.500
I1 I 0.500 0.500 0.000
N1 N 0.000 0.500 0.500
# Total moment ... 0.0 Bohr magnetons per cell
# Volume ... 102.13 Å³ per cell
# Offset from the most stable computed form ... 1098 meV per atom
# N(E_F) ... 7.7 states/eV/cell
# Energy relative to the elements, uncorrected ... 1.543 eV per atom

***

# NaSe2BrO | the Alexandria database | PBE-GGA | optimized geometry
data_NaSe2BrO
_cell_length_a 4.156
_cell_length_b 4.156
_cell_length_c 7.782
_cell_angle_alpha 90.00
_cell_angle_beta 90.00
_cell_angle_gamma 90.00
_space_group_name_H-M_alt 'P 4/m m m'
_space_group_IT_number 123
_space_group_name_Hall '-P 4 2'
loop_
_atom_site_label
_atom_site_type_symbol
_atom_site_fract_x
_atom_site_fract_y
_atom_site_fract_z
Na1 Na 0.000 0.000 0.000
Se1 Se 0.000 0.500 0.500
Br1 Br 0.500 0.500 0.000
O1 O 0.500 0.500 0.500
# Total moment ... 0.9 Bohr magnetons per cell
# Volume ... 134.45 Å³ per cell
# Offset from the most stable computed form ... 0 meV per atom
# N(E_F) ... 3.1 states/eV/cell
# Energy relative to the elements, uncorrected ... -0.245 eV per atom